Record 1
# PrGa2Pt

A relaxed structure of PrGa2Pt (GGA-PBE, Alexandria).

a = 4.285 Å, b = 4.285 Å, c = 5.815 Å
α = 68.38°, β = 68.38°, γ = 60.00°
Fractional coordinates of all 4 atoms:
Pr (0.500, 0.500, 0.500)
Ga (0.715, 0.715, 0.854)
Ga (0.285, 0.285, 0.146)
Pt (0.000, 0.000, 0.000)

Output
volume: 83.7 Å³/cell
formation enthalpy at 0 K: -0.839 eV/atom


Record 2
# LiCuOs2

A relaxed structure of LiCuOs2 (GGA-PBE, Alexandria).

a = 2.680 Å, b = 3.891 Å, c = 5.273 Å
α = 90.00°, β = 90.00°, γ = 90.00°
Fractional coordinates of all 4 atoms:
Li (0.500, 0.500, 0.725)
Os (0.500, 0.500, 0.221)
Os (0.000, 0.000, 0.027)
Cu (0.000, 0.000, 0.526)

Output
volume: 55.0 Å³/cell
offset from the most stable computed form: 0 meV/atom
formation enthalpy at 0 K: 0.191 eV/atom


Record 3
# Cs2TcBr

A relaxed structure of Cs2TcBr (GGA-PBE, Alexandria).

a = 6.455 Å, b = 6.455 Å, c = 6.455 Å
α = 60.00°, β = 60.00°, γ = 60.00°
Each line ends with the local moment (μB).
Fractional coordinates of all 4 atoms:
Br (0.000, 0.000, 0.000)  0.01
Tc (0.500, 0.500, 0.500)  3.38
Cs (0.750, 0.750, 0.750)  0.00
Cs (0.250, 0.250, 0.250)  0.00

Output
uncorrected formation energy: 0.50 eV/atom
volume: 190.2 Å³/cell


Record 4
# FeAsIr2Br

A relaxed structure of FeAsIr2Br (GGA-PBE, Alexandria).

a = 4.537 Å, b = 5.464 Å, c = 4.537 Å
α = 90.00°, β = 90.00°, γ = 90.00°
Each line ends with the local moment (μB).
Fractional coordinates of all 5 atoms:
As (0.000, 0.000, 0.000)  -0.01
Fe (0.500, 0.500, 0.500)  3.38
Br (0.000, 0.500, 0.000)  0.06
Ir (0.500, 0.000, 0.000)  0.25
Ir (0.000, 0.000, 0.500)  0.25

Output
uncorrected formation energy: 1.28 eV/atom
volume: 112.4 Å³/cell


Question: What is the volume in the second record?
Answer: 55.0 Å³/cell


Question: Which formula does entry 1 have?
Answer: PrGa2Pt


Question: Among the records above, which one has the highest volume?
Answer: Cs2TcBr